No. 1
This record from the Alexandria database describes a relaxed La6GaCu5 crystal. The functional is PBE.

Lattice parameters (Å, degrees): 5.176 7.382 8.233 90.00 108.32 90.00
Positions (direct):
Cu (0.666, 0.500, 0.334)
Cu (0.348, 0.000, 0.689)
Cu (0.000, 0.500, 0.000)
Cu (0.652, 0.000, 0.311)
Cu (0.334, 0.500, 0.666)
Ga (0.000, 0.000, 0.000)
La (0.830, 0.751, 0.659)
La (0.830, 0.249, 0.659)
La (0.500, 0.260, 0.000)
La (0.500, 0.740, 0.000)
La (0.170, 0.751, 0.341)
La (0.170, 0.249, 0.341)

## Properties
E = -4.628 eV/atom
ΔH_f (0 K) = -205 meV/atom

***

No. 2
This record from the Alexandria database describes a relaxed UAl5 crystal. The functional is PBE.

Lattice parameters (Å, degrees): 4.434 5.636 5.636 65.06 66.84 66.84
Last column: magnetic moment on the atom in μB.
Positions (direct):
U (0.500, 0.000, 0.000)  2.14
Al (0.835, 0.904, 0.425)  0.00
Al (0.500, 0.500, 0.500)  0.02
Al (0.165, 0.096, 0.575)  0.00
Al (0.165, 0.575, 0.096)  0.00
Al (0.835, 0.425, 0.904)  0.00

## Properties
E = -5.034 eV/atom
distance to the lowest polymorph of the same formula = 9 meV per atom
ΔH_f (0 K) = -34 meV/atom

***

No. 3
This record from the Alexandria database describes a relaxed AgSIN2 crystal. The functional is PBE.

Lattice parameters (Å, degrees): 4.122 4.122 6.199 90.00 90.00 90.00
Last column: magnetic moment on the atom in μB.
Positions (direct):
I (0.500, 0.500, 0.500)  0.08
S (0.000, 0.000, 0.500)  0.10
Ag (0.000, 0.000, 0.000)  0.22
N (0.000, 0.500, 0.000)  1.22
N (0.500, 0.000, 0.000)  1.22

## Properties
E = -3.208 eV/atom
distance to the lowest polymorph of the same formula = 307 meV per atom
E_form (uncorrected) = 1828 meV/atom

***

No. 4
This record from the Alexandria database describes a relaxed PaSeO crystal. The functional is PBE.

Lattice parameters (Å, degrees): 4.227 3.874 3.874 120.00 90.00 90.00
Positions (direct):
Pa (0.167, 0.000, 0.000)
O (0.167, 0.333, 0.667)
Se (0.667, 0.667, 0.333)

## Properties
E = -8.515 eV/atom
E_form (uncorrected) = -2535 meV/atom

***

No. 5
This record from the Alexandria database describes a relaxed CeCd3 crystal. The functional is PBE.

Lattice parameters (Å, degrees): 3.077 5.810 6.476 116.65 103.74 90.00
Last column: magnetic moment on the atom in μB.
Positions (direct):
Ce (0.000, 0.962, 0.000)  1.04
Cd (0.236, 0.606, 0.473)  0.00
Cd (0.500, 0.465, 0.000)  0.02
Cd (0.764, 0.134, 0.527)  0.00

## Properties
E = -2.219 eV/atom
ΔH_f (0 K) = -49 meV/atom

***

The lowest E belongs to which entry? PaSeO

***

Please write out number 3 again, unchanged.
This record from the Alexandria database describes a relaxed AgSIN2 crystal. The functional is PBE.

Lattice parameters (Å, degrees): 4.122 4.122 6.199 90.00 90.00 90.00
Last column: magnetic moment on the atom in μB.
Positions (direct):
I (0.500, 0.500, 0.500)  0.08
S (0.000, 0.000, 0.500)  0.10
Ag (0.000, 0.000, 0.000)  0.22
N (0.000, 0.500, 0.000)  1.22
N (0.500, 0.000, 0.000)  1.22

## Properties
E = -3.208 eV/atom
distance to the lowest polymorph of the same formula = 307 meV per atom
E_form (uncorrected) = 1828 meV/atom

***

E of number 5 (CeCd3)? -2.219 eV/atom